Computed, not measured: a relaxed structure of RbZrTl at the PBE level of DFT.

```
RbZrTl
1.0
-2.041 -3.532 -3.552
-5.059 0.607 -1.815
-0.874 1.511 -5.120
Zr Rb Tl
1 1 1
Cartesian
-5.981 -1.060 -7.865
-1.994 -0.353 -2.622
0.000 0.000 0.000
```

Values from the calculation:
The formation energy comes out at 293 kJ/mol of formula units. The value obtained for the energy is -2.947 eV/atom. Its polymorph energy (0 for the lowest one) is 0.9480 eV/atom.